(1)
VASP calculation (PBE-GGA) on an optimized crystal structure of Ba2NaLi4Bi3.

a = 4.960 Å, b = 4.960 Å, c = 11.846 Å
α = 90.00°, β = 90.00°, γ = 90.00°
Space group P-4m2 (No. 115)
Symmetry-distinct sites (fractional):
Ba 0.000 0.500 0.228 [2 per cell]
Na 0.000 0.000 0.500 [1 per cell]
Li 0.000 0.000 0.000 [1 per cell]
Li 0.000 0.500 0.632 [2 per cell]
Li 0.500 0.500 0.000 [1 per cell]
Bi 0.000 0.500 0.866 [2 per cell]
Bi 0.500 0.500 0.500 [1 per cell]

Values from the calculation:
* energy of formation: -0.639 eV per atom

(2)
VASP calculation (PBE-GGA) on an optimized crystal structure of Ba3Na2Li2Bi4.

a = 5.0617 Å, b = 5.0617 Å, c = 18.2299 Å
α = 90.00°, β = 90.00°, γ = 120.00°
Space group P-3m1 (No. 164)
Symmetry-distinct sites (fractional):
Ba 0.0000 0.0000 0.0000 [1 per cell]
Ba 0.0000 0.0000 0.2569 [2 per cell]
Na 0.3333 0.6667 0.5545 [2 per cell]
Li 0.3333 0.6667 0.1320 [2 per cell]
Bi 0.3333 0.6667 0.3701 [2 per cell]
Bi 0.3333 0.6667 0.8752 [2 per cell]

Values from the calculation:
* energy of formation: -0.614 eV per atom

(3)
VASP calculation (PBE-GGA) on an optimized crystal structure of Ba2Na2LiBi4.

a = 7.691 Å, b = 7.691 Å, c = 10.201 Å
α = 90.00°, β = 90.00°, γ = 90.00°
Space group I4/mmm (No. 139)
Symmetry-distinct sites (fractional):
Ba 0.000 0.500 0.250 [4 per cell]
Na 0.000 0.000 0.202 [4 per cell]
Li 0.000 0.000 0.500 [2 per cell]
Bi 0.241 0.241 0.000 [8 per cell]

Values from the calculation:
* energy of formation: -0.526 eV per atom

(4)
VASP calculation (PBE-GGA) on an optimized crystal structure of BaLi2NdBi2.

a = 4.9692 Å, b = 4.9692 Å, c = 8.3622 Å
α = 90.00°, β = 90.00°, γ = 120.00°
Space group P-3m1 (No. 164)
Symmetry-distinct sites (fractional):
Ba 0.0000 0.0000 0.0000 [1 per cell]
Li 0.3333 0.6667 0.6909 [2 per cell]
Nd 0.0000 0.0000 0.5000 [1 per cell]
Bi 0.3333 0.6667 0.2771 [2 per cell]

Values from the calculation:
* energy of formation: -0.749 eV per atom

(5)
VASP calculation (PBE-GGA) on an optimized crystal structure of BaLi3Bi4O12.

a = 8.180 Å, b = 8.180 Å, c = 8.180 Å
α = 90.00°, β = 90.00°, γ = 90.00°
Space group Im-3 (No. 204)
Symmetry-distinct sites (fractional):
Ba 0.000 0.000 0.000 [2 per cell]
Li 0.000 0.000 0.500 [6 per cell]
Bi 0.250 0.250 0.250 [8 per cell]
O 0.000 0.306 0.177 [24 per cell]

Values from the calculation:
* DFT total energy: -0.401 Ry/atom

(6)
VASP calculation (PBE-GGA) on an optimized crystal structure of BaLi2BiO4.

a = 5.740 Å, b = 5.740 Å, c = 7.524 Å
α = 90.00°, β = 90.00°, γ = 90.00°
Space group I-42m (No. 121)
Symmetry-distinct sites (fractional):
Ba 0.000 0.000 0.000 [2 per cell]
Li 0.000 0.500 0.250 [4 per cell]
Bi 0.000 0.000 0.500 [2 per cell]
O 0.213 0.213 0.672 [8 per cell]

Values from the calculation:
* DFT total energy: -0.398 Ry/atom

(7)
VASP calculation (PBE-GGA) on an optimized crystal structure of Ba2LiBiO.

a = 5.517 Å, b = 5.517 Å, c = 4.652 Å
α = 90.00°, β = 90.00°, γ = 90.00°
Space group P4/mmm (No. 123)
Symmetry-distinct sites (fractional):
Ba 0.000 0.500 0.000 [2 per cell]
Li 0.000 0.000 0.500 [1 per cell]
Bi 0.500 0.500 0.500 [1 per cell]
O 0.000 0.000 0.000 [1 per cell]

Values from the calculation:
* DFT total energy: -0.319 Ry/atom

(8)
VASP calculation (PBE-GGA) on an optimized crystal structure of Ba3Li2BiO6.

a = 6.1515 Å, b = 6.1515 Å, c = 6.9050 Å
α = 90.00°, β = 90.00°, γ = 120.00°
Space group P-3m1 (No. 164)
Symmetry-distinct sites (fractional):
Ba 0.0000 0.0000 0.0000 [1 per cell]
Ba 0.3333 0.6667 0.6322 [2 per cell]
Li 0.3333 0.6667 0.2203 [2 per cell]
Bi 0.0000 0.0000 0.5000 [1 per cell]
O 0.1680 0.3361 0.3033 [6 per cell]

Values from the calculation:
* DFT total energy: -0.407 Ry/atom

What is the formula in the fourth record? BaLi2NdBi2